Record 1
CaBiB2, relaxed, DFT PBE-GGA; formation energy = 1.007 eV per atom
1.0
-3.483 3.483 3.281
3.483 -3.483 3.281
3.483 3.483 -3.281
Ca Bi B
2 2 4
Direct
0.000 0.000 0.000
0.750 0.250 0.500
0.250 0.750 0.500
0.500 0.500 0.000
0.159 0.625 0.034
0.375 0.409 0.534
0.591 0.125 0.966
0.875 0.841 0.466

---

Record 2
Ba2TaSiC, relaxed, DFT PBE-GGA; energy relative to the elements, uncorrected = 1.60 eV per atom
1.0
6.300 0.000 0.000
0.000 6.300 0.000
0.000 0.000 4.828
Ba Ta Si C
2 1 1 1
Direct
0.000 0.500 0.000
0.500 0.000 0.000
0.000 0.000 0.500
0.000 0.000 0.000
0.500 0.500 0.500

---

Record 3
CsCaCd3, relaxed, DFT PBE-GGA; distance to the lowest polymorph of the same formula = 10.26 kcal/mol of atoms; formation energy = 0.596 eV per atom
1.0
6.510 0.000 0.000
0.000 6.510 0.000
0.000 0.000 6.510
Cs Ca Cd
1 1 3
Direct
0.000 0.000 0.000
0.500 0.500 0.500
0.000 0.000 0.500
0.000 0.500 0.000
0.500 0.000 0.000